First-principles (GGA-PBE) data for a relaxed Ba3ScHg2O6 crystal, as listed in the Alexandria database.

Results
E_tot	-5.457	eV per atom
crystal system	trigonal

POSCAR file:
```
Ba3ScHg2O6
1.0
6.178 0.000 0.000
-3.089 5.350 0.000
0.000 0.000 6.930
Ba Sc Hg O
3 1 2 6
direct
0.000 0.000 0.000 Ba
0.333 0.667 0.620 Ba
0.667 0.333 0.380 Ba
0.000 0.000 0.500 Sc
0.333 0.667 0.135 Hg
0.667 0.333 0.865 Hg
0.160 0.320 0.321 O
0.160 0.840 0.321 O
0.320 0.160 0.679 O
0.680 0.840 0.321 O
0.840 0.160 0.679 O
0.840 0.680 0.679 O
```